Entry 1:
Computed, not measured: a geometry-optimized La3TlIr structure at the PBE-GGA level of DFT.

Cell and atoms, written as POSCAR:
```
La3TlIr
1.0
9.627 -0.040 0.051
-1.525 5.779 -0.031
1.525 1.433 5.599
La Ir Tl
6 2 2
direct
0.747 0.562 0.384 La
0.437 0.881 0.498 La
0.056 0.192 0.187 La
0.437 0.366 0.014 La
0.057 0.677 0.703 La
0.747 0.995 0.817 La
0.746 0.083 0.296 Ir
0.747 0.474 0.905 Ir
0.247 0.779 0.101 Tl
0.247 0.279 0.600 Tl
```

Calculated values
As for the volume: 31.104 Å³/atom. The calculation puts the electronic total energy at -5.74 eV per atom. The density of states at the Fermi level is 8.08 states/eV per cell. Its total moment is 0.0 μB per cell.



Entry 2:
Computed, not measured: a geometry-optimized La2TlIr structure at the PBE-GGA level of DFT.

Cell and atoms, written as POSCAR:
```
La2TlIr
1.0
4.098 0.000 0.000
0.000 4.605 0.000
0.000 2.302 6.070
La Ir Tl
2 1 1
direct
0.000 0.994 0.888 La
0.500 0.292 0.292 La
0.500 0.519 0.836 Ir
0.000 0.696 0.485 Tl
```

Calculated values
As for the volume: 28.636 Å³/atom. The calculation puts the electronic total energy at -5.74 eV per atom. The density of states at the Fermi level is 3.74 states/eV per cell. Its total moment is 0.0 μB per cell.



Entry 3:
Computed, not measured: a geometry-optimized La3TlIr structure at the PBE-GGA level of DFT.

Cell and atoms, written as POSCAR:
```
La3TlIr
1.0
-4.962 -1.245 7.747
1.712 -4.445 -7.969
4.475 -2.652 2.440
La Ir Tl
6 2 2
direct
0.887 0.583 0.750 La
0.113 0.417 0.250 La
0.000 0.000 0.500 La
0.417 0.113 0.750 La
0.583 0.887 0.250 La
0.000 0.000 0.000 La
0.482 0.518 0.250 Ir
0.518 0.482 0.750 Ir
0.177 0.823 0.250 Tl
0.823 0.177 0.750 Tl
```

Calculated values
As for the volume: 32.720 Å³/atom. The calculation puts the electronic total energy at -5.11 eV per atom. The density of states at the Fermi level is 13.18 states/eV per cell. Its total moment is 0.0 μB per cell.



Entry 4:
Computed, not measured: a geometry-optimized LaTlIr structure at the PBE-GGA level of DFT.

Cell and atoms, written as POSCAR:
```
LaTlIr
1.0
-3.349 -2.491 -0.245
1.660 -2.501 2.740
-4.774 5.902 5.265
La Ir Tl
2 2 2
direct
0.750 0.090 0.180 La
0.250 0.910 0.820 La
0.750 0.448 0.896 Ir
0.250 0.552 0.104 Ir
0.750 0.291 0.582 Tl
0.250 0.709 0.418 Tl
```

Calculated values
As for the volume: 25.524 Å³/atom. The calculation puts the electronic total energy at -5.91 eV per atom. The density of states at the Fermi level is 2.66 states/eV per cell. Its total moment is 0.0 μB per cell.



Entry 5:
Computed, not measured: a geometry-optimized LaTlIr2 structure at the PBE-GGA level of DFT.

Cell and atoms, written as POSCAR:
```
LaTlIr2
1.0
3.599 0.000 0.000
0.000 3.599 0.000
0.000 0.000 6.458
La Ir Tl
1 2 1
direct
0.500 0.500 0.250 La
0.000 0.000 0.979 Ir
0.000 0.000 0.521 Ir
0.500 0.500 0.750 Tl
```

Calculated values
As for the volume: 20.918 Å³/atom. The calculation puts the electronic total energy at -6.23 eV per atom. The density of states at the Fermi level is 3.25 states/eV per cell. Its total moment is 0.0 μB per cell.



Entry 6:
Computed, not measured: a geometry-optimized LaTlIr2 structure at the PBE-GGA level of DFT.

Cell and atoms, written as POSCAR:
```
LaTlIr2
1.0
4.922 0.000 0.000
2.461 4.263 0.000
2.461 1.421 4.019
Tl Ir La
1 2 1
direct
0.750 0.750 0.750 Tl
0.250 0.250 0.250 Ir
0.000 0.000 0.000 Ir
0.500 0.500 0.500 La
```

Calculated values
As for the volume: 21.079 Å³/atom. The calculation puts the electronic total energy at -6.01 eV per atom. The density of states at the Fermi level is 6.45 states/eV per cell. Its total moment is 0.0 μB per cell.